--- a ---
Compound: CuHg3
Source: Alexandria
Functional: PBE
Structure: optimized geometry

```
CuHg3
1.0
-0.569 -2.977 -0.693
1.193 0.418 -2.840
8.090 -2.261 3.066
Hg Cu
3 1
direct
0.500 0.500 0.799
0.500 0.500 0.201
0.000 0.000 0.500
0.000 0.000 0.000
```

For the density of states at the Fermi level, the calculation gives 0.957 states/eV per cell.

---

--- b ---
Compound: CuHg3
Source: Alexandria
Functional: PBE
Structure: optimized geometry

```
CuHg3
1.0
3.010 0.000 0.000
0.000 4.551 0.000
-1.505 -2.275 6.669
Hg Cu
3 1
direct
0.683 0.100 0.366
0.500 0.417 0.000
0.317 0.733 0.634
0.000 0.917 0.000
```

For the density of states at the Fermi level, the calculation gives 1.235 states/eV per cell.

---

b has the most favorable energy; the next structure is 55 meV per atom above.

---

--- a ---
Compound: Cu3Hg4
Source: Alexandria
Functional: PBE
Structure: optimized geometry

```
Cu3Hg4
1.0
5.529 0.000 0.000
0.000 5.529 0.000
0.000 0.000 5.529
Cu Hg
3 4
direct
0.500 0.000 0.500
0.000 0.500 0.500
0.500 0.500 0.000
0.803 0.803 0.803
0.197 0.197 0.803
0.197 0.803 0.197
0.803 0.197 0.197
```

For the density of states at the Fermi level, the calculation gives 3.143 states/eV per cell.

---

--- b ---
Compound: Cu3Hg4
Source: Alexandria
Functional: PBE
Structure: optimized geometry

```
Cu3Hg4
1.0
2.011 11.099 5.785
-2.513 11.063 5.656
0.202 -12.120 -3.711
Hg Cu
4 3
direct
0.840 0.840 0.000
0.568 0.568 0.000
0.160 0.160 0.000
0.432 0.432 0.000
0.274 0.274 0.000
0.726 0.726 0.000
0.000 0.000 0.000
```

For the density of states at the Fermi level, the calculation gives 1.574 states/eV per cell.

---

--- c ---
Compound: Cu3Hg4
Source: Alexandria
Functional: PBE
Structure: optimized geometry

```
Cu3Hg4
1.0
-1.457 -3.628 3.616
-1.171 -3.424 -3.907
4.987 -1.864 0.139
Hg Cu
4 3
direct
0.000 0.500 0.500
0.000 0.000 0.000
0.500 0.000 0.500
0.500 0.500 0.000
0.500 0.000 0.000
0.000 0.500 0.000
0.000 0.000 0.500
```

For the density of states at the Fermi level, the calculation gives 3.227 states/eV per cell.

---

b has the most favorable energy; the next structure is 65 meV per atom above.

---

--- a ---
Compound: Cu4Hg5
Source: Alexandria
Functional: PBE
Structure: optimized geometry

```
Cu4Hg5
1.0
5.411 0.227 3.881
-5.658 -3.330 -1.137
3.176 -2.257 -5.405
Hg Cu
5 4
direct
0.672 0.328 0.000
0.328 0.672 0.000
0.000 0.000 0.000
0.672 0.672 0.344
0.328 0.328 0.656
0.000 0.637 0.637
0.637 0.000 0.637
0.000 0.363 0.363
0.363 0.000 0.363
```

For the density of states at the Fermi level, the calculation gives 3.010 states/eV per cell.

---

--- b ---
Compound: Cu4Hg5
Source: Alexandria
Functional: PBE
Structure: optimized geometry

```
Cu4Hg5
1.0
8.148 0.000 0.000
4.074 7.056 0.000
0.000 0.000 5.620
Cu Hg
8 10
direct
0.000 0.376 0.750
0.376 0.624 0.750
0.376 0.000 0.250
0.624 0.376 0.250
0.624 0.000 0.750
0.000 0.000 0.000
0.000 0.000 0.500
0.000 0.624 0.250
0.715 0.285 0.750
0.285 0.715 0.250
0.285 0.000 0.750
0.667 0.667 0.000
0.333 0.333 0.000
0.667 0.667 0.500
0.000 0.715 0.750
0.333 0.333 0.500
0.000 0.285 0.250
0.715 0.000 0.250
```

For the density of states at the Fermi level, the calculation gives 6.725 states/eV per cell.

---

b has the most favorable energy; the next structure is 22 meV per atom above.